Entry 1:
# AcHoThAl | Alexandria via LeMat-Bulk | PBE | relaxed
# crystal system: cubic
data_AcHoThAl
_symmetry_space_group_name_H-M 'P 1'
_symmetry_Int_Tables_number 1
_cell_length_a 7.841
_cell_length_b 7.841
_cell_length_c 7.841
_cell_angle_alpha 90.00
_cell_angle_beta 90.00
_cell_angle_gamma 90.00
loop_
_symmetry_equiv_pos_as_xyz
'x,y,z'
loop_
_atom_site_label
_atom_site_type_symbol
_atom_site_fract_x
_atom_site_fract_y
_atom_site_fract_z
Ac1 Ac 0.000 0.000 0.000
Ac2 Ac 0.000 0.500 0.500
Ac3 Ac 0.500 0.000 0.500
Ac4 Ac 0.500 0.500 0.000
Ho1 Ho 0.250 0.250 0.250
Ho2 Ho 0.250 0.750 0.750
Ho3 Ho 0.750 0.250 0.750
Ho4 Ho 0.750 0.750 0.250
Th1 Th 0.250 0.250 0.750
Th2 Th 0.250 0.750 0.250
Th3 Th 0.750 0.250 0.250
Th4 Th 0.750 0.750 0.750
Al1 Al 0.000 0.000 0.500
Al2 Al 0.000 0.500 0.000
Al3 Al 0.500 0.000 0.000
Al4 Al 0.500 0.500 0.500

---

Entry 2:
# Sc5Pb | Alexandria via LeMat-Bulk | PBE | relaxed
# crystal system: orthorhombic
data_Sc5Pb
_symmetry_space_group_name_H-M 'P 1'
_symmetry_Int_Tables_number 1
_cell_length_a 5.125
_cell_length_b 3.342
_cell_length_c 17.007
_cell_angle_alpha 90.00
_cell_angle_beta 90.00
_cell_angle_gamma 90.00
loop_
_symmetry_equiv_pos_as_xyz
'x,y,z'
loop_
_atom_site_label
_atom_site_type_symbol
_atom_site_fract_x
_atom_site_fract_y
_atom_site_fract_z
Sc1 Sc 0.000 0.000 0.000
Sc2 Sc 0.000 0.000 0.325
Sc3 Sc 0.000 0.000 0.661
Sc4 Sc 0.000 0.500 0.161
Sc5 Sc 0.000 0.500 0.500
Sc6 Sc 0.000 0.500 0.825
Sc7 Sc 0.500 0.000 0.108
Sc8 Sc 0.500 0.000 0.446
Sc9 Sc 0.500 0.500 0.608
Sc10 Sc 0.500 0.500 0.946
Pb1 Pb 0.500 0.000 0.773
Pb2 Pb 0.500 0.500 0.273

---

The calculation returns the following volume values, one per record and in order: 482.00 291.32 Å³ per cell.
The calculation returns the following DFT formation energy values, one per record and in order: 0.517 -0.862 eV per formula unit.